The following is a PBEsol calculation of a geometry-optimized Ta2PdF2 structure, from Alexandria via LeMat-Bulk.

## Properties
- volume (Å³/f.u.) = 70.8
- spin magnetization (μB per atom) = 0.0005
- E (eV/atom) = -7.2334

a b c (Å): 4.148 4.148 4.117
angles (deg): 90.00 90.00 90.00
Positions (direct):
Ta 0.000 0.500 0.000
Ta 0.500 0.000 0.000
Pd 0.000 0.000 0.500
F 0.500 0.500 0.000
F 0.500 0.500 0.500